Record 1
# Mo3SeI GGA-PBE optimized geometry
# **Size of the total moment**: 0.000 μB/f.u.
# **Total DFT energy (no corrections)**: -5.3248 eV/atom
data_Mo3SeI
_chemical_formula_sum 'Mo3 Se1 I1'
_space_group_name_H-M_alt 'P m -3 m'
_space_group_IT_number 221
_space_group_name_Hall '-P 4 2 3'
_cell_length_a 4.903
_cell_length_b 4.903
_cell_length_c 4.903
_cell_angle_alpha 90.00
_cell_angle_beta 90.00
_cell_angle_gamma 90.00
loop_
_atom_site_label
_atom_site_type_symbol
_atom_site_fract_x
_atom_site_fract_y
_atom_site_fract_z
Mo1 Mo 0.000 0.000 0.500
Se1 Se 0.500 0.500 0.500
I1 I 0.000 0.000 0.000

***

Record 2
# MoSeI3 GGA-PBE optimized geometry
# **Size of the total moment**: 0.000 μB/f.u.
# **Total DFT energy (no corrections)**: -3.1965 eV/atom
data_MoSeI3
_chemical_formula_sum 'Mo1 Se1 I3'
_space_group_name_H-M_alt 'P m -3 m'
_space_group_IT_number 221
_space_group_name_Hall '-P 4 2 3'
_cell_length_a 5.400
_cell_length_b 5.400
_cell_length_c 5.400
_cell_angle_alpha 90.00
_cell_angle_beta 90.00
_cell_angle_gamma 90.00
loop_
_atom_site_label
_atom_site_type_symbol
_atom_site_fract_x
_atom_site_fract_y
_atom_site_fract_z
Mo1 Mo 0.000 0.000 0.000
Se1 Se 0.500 0.500 0.500
I1 I 0.000 0.000 0.500

***

Record 3
# Mo3SeI GGA-PBE optimized geometry
# **Size of the total moment**: 0.000 μB/f.u.
# **Total DFT energy (no corrections)**: -6.1404 eV/atom
data_Mo3SeI
_chemical_formula_sum 'Mo3 Se1 I1'
_space_group_name_H-M_alt 'P m -3 m'
_space_group_IT_number 221
_space_group_name_Hall '-P 4 2 3'
_cell_length_a 4.711
_cell_length_b 4.711
_cell_length_c 4.711
_cell_angle_alpha 90.00
_cell_angle_beta 90.00
_cell_angle_gamma 90.00
loop_
_atom_site_label
_atom_site_type_symbol
_atom_site_fract_x
_atom_site_fract_y
_atom_site_fract_z
Mo1 Mo 0.000 0.000 0.500
Se1 Se 0.000 0.000 0.000
I1 I 0.500 0.500 0.500

***

Record 4
# MoSeI3 GGA-PBE optimized geometry
# **Size of the total moment**: 4.930 μB/f.u.
# **Total DFT energy (no corrections)**: -2.8405 eV/atom
data_MoSeI3
_chemical_formula_sum 'Mo1 Se1 I3'
_space_group_name_H-M_alt 'P m -3 m'
_space_group_IT_number 221
_space_group_name_Hall '-P 4 2 3'
_cell_length_a 5.743
_cell_length_b 5.743
_cell_length_c 5.743
_cell_angle_alpha 90.00
_cell_angle_beta 90.00
_cell_angle_gamma 90.00
loop_
_atom_site_label
_atom_site_type_symbol
_atom_site_fract_x
_atom_site_fract_y
_atom_site_fract_z
Mo1 Mo 0.000 0.000 0.000
Se1 Se 0.500 0.500 0.500
I1 I 0.000 0.500 0.500

***

Record 5
# MoSeI2 GGA-PBE optimized geometry
# **Size of the total moment**: 2.001 μB/f.u.
# **Total DFT energy (no corrections)**: -3.4180 eV/atom
data_MoSeI2
_chemical_formula_sum 'Mo4 Se4 I8'
_space_group_name_H-M_alt 'F m -3 m'
_space_group_IT_number 225
_space_group_name_Hall '-F 4 2 3'
_cell_length_a 7.334
_cell_length_b 7.334
_cell_length_c 7.334
_cell_angle_alpha 90.00
_cell_angle_beta 90.00
_cell_angle_gamma 90.00
loop_
_atom_site_label
_atom_site_type_symbol
_atom_site_fract_x
_atom_site_fract_y
_atom_site_fract_z
Mo1 Mo 0.000 0.000 0.000
Se1 Se 0.000 0.000 0.500
I1 I 0.250 0.250 0.250

***

Record 6
# Sn2MoSeI GGA-PBE optimized geometry
# **Size of the total moment**: 4.402 μB/f.u.
# **Total DFT energy (no corrections)**: -3.2484 eV/atom
data_Sn2MoSeI
_chemical_formula_sum 'Sn2 Mo1 Se1 I1'
_space_group_name_H-M_alt 'P 4/m m m'
_space_group_IT_number 123
_space_group_name_Hall '-P 4 2'
_cell_length_a 5.839
_cell_length_b 5.839
_cell_length_c 5.452
_cell_angle_alpha 90.00
_cell_angle_beta 90.00
_cell_angle_gamma 90.00
loop_
_atom_site_label
_atom_site_type_symbol
_atom_site_fract_x
_atom_site_fract_y
_atom_site_fract_z
Sn1 Sn 0.000 0.500 0.000
Mo1 Mo 0.000 0.000 0.500
Se1 Se 0.500 0.500 0.500
I1 I 0.500 0.500 0.000

***

Formation energy without anion corrections (eV per atom)
2.18 0.60 1.37 0.95 0.94 1.53